The following is a PBE-GGA calculation of a relaxed Fe2ReMo crystal, from Alexandria.

Cell: 4.5255 4.5255 2.6601 Å, 90.00 90.00 108.02°
Closest atoms and distances in Å follow each position.
Positions (direct):
1 Fe 0.0000 0.0000 0.0000  4 Re 2.62, 4 Mo 2.62, 4 Fe 2.66
2 Fe 0.5000 0.5000 0.0000  4 Mo 2.62, 4 Re 2.62, 4 Fe 2.66
3 Mo 0.5000 0.0000 0.5000  8 Fe 2.62, 2 Re 2.66, 2 Mo 2.66
4 Re 0.0000 0.5000 0.5000  8 Fe 2.62, 2 Mo 2.66, 2 Re 2.66

Properties
Energy relative to the elements   2.53 kcal/mol of atoms
Uncorrected energy   -9.941 eV/atom
N(E_F)   4.72 states/eV per cell

The following is a PBE-GGA calculation of a relaxed TcBiBr2 crystal, from Alexandria.

Cell: 5.1440 5.1440 5.1440 Å, 60.00 60.00 60.00°
Closest atoms and distances in Å follow each position.
Positions (direct):
1 Bi 0.5000 0.5000 0.5000  8 Br 3.15
2 Br 0.2500 0.2500 0.2500  4 Bi 3.15, 4 Tc 3.15
3 Br 0.7500 0.7500 0.7500  4 Bi 3.15, 4 Tc 3.15
4 Tc 0.0000 0.0000 0.0000  8 Br 3.15

Properties
ΔE_f (raw)   0.7424 eV per atom
Uncorrected energy   -3.656 eV/atom
N(E_F)   2.61 states/eV per cell

The following is a PBE-GGA calculation of a relaxed Tm6FeRh crystal, from Alexandria.

Cell: 6.5248 6.5432 6.2364 Å, 58.36 81.24 73.12°
Closest atoms and distances in Å follow each position.
Positions (direct):
1 Tm 0.7419 0.4385 0.6595  1 Fe 2.58, 1 Rh 2.73
2 Tm 0.7419 0.0980 0.3405  1 Fe 2.58, 1 Rh 2.73
3 Tm 0.2581 0.9020 0.6595  1 Fe 2.58, 1 Rh 2.73
4 Tm 0.2581 0.5615 0.3405  1 Fe 2.58, 1 Rh 2.73
5 Tm 0.7363 0.7541 0.0000  1 Fe 2.57, 1 Rh 2.68
6 Tm 0.2637 0.2459 0.0000  1 Fe 2.57, 1 Rh 2.68
7 Fe 0.5000 0.5000 0.0000  6 Tm 2.57-2.58
8 Rh 0.0000 0.0000 0.0000  6 Tm 2.68-2.73

Properties
Energy relative to the elements   -4.51 kcal/mol of atoms
Uncorrected energy   -5.526 eV/atom
N(E_F)   6.47 states/eV per cell

The following is a PBE-GGA calculation of a relaxed CsBaTe4 crystal, from Alexandria.

Cell: 5.5423 9.5903 7.1037 Å, 54.36 112.96 90.00°
Closest atoms and distances in Å follow each position.
Positions (direct):
1 Cs 0.5000 0.5000 0.0000  8 Te 3.73-4.08
2 Ba 0.0000 0.0000 0.0000  4 Te 3.53-3.66
3 Te 0.2557 0.0494 0.5113  2 Te 2.96
4 Te 0.7443 0.9506 0.4887  2 Te 2.96
5 Te 0.7964 0.4748 0.5927  2 Te 2.94
6 Te 0.2036 0.5252 0.4073  2 Te 2.94

Properties
ΔE_f (raw)   -0.8148 eV per atom
Uncorrected energy   -3.372 eV/atom
N(E_F)   1.89 states/eV per cell

Please write out number 1 again, unchanged.
The following is a PBE-GGA calculation of a relaxed Fe2ReMo crystal, from Alexandria.

Cell: 4.5255 4.5255 2.6601 Å, 90.00 90.00 108.02°
Closest atoms and distances in Å follow each position.
Positions (direct):
1 Fe 0.0000 0.0000 0.0000  4 Re 2.62, 4 Mo 2.62, 4 Fe 2.66
2 Fe 0.5000 0.5000 0.0000  4 Mo 2.62, 4 Re 2.62, 4 Fe 2.66
3 Mo 0.5000 0.0000 0.5000  8 Fe 2.62, 2 Re 2.66, 2 Mo 2.66
4 Re 0.0000 0.5000 0.5000  8 Fe 2.62, 2 Mo 2.66, 2 Re 2.66

Properties
Energy relative to the elements   2.53 kcal/mol of atoms
Uncorrected energy   -9.941 eV/atom
N(E_F)   4.72 states/eV per cell

Q: The highest uncorrected energy belongs to which entry?
A: CsBaTe4